(1)
Entry from the Open Quantum Materials Database: a relaxed structure of PrAlPO (PBE).

abc: 4.077 6.828 5.760
angles: 90.00 90.00 90.00
Element x y z (fractional)
Al 0.000 0.885 0.034
Pr 0.500 0.310 0.931
Al 0.000 0.115 0.534
Pr 0.500 0.690 0.431
O 0.000 0.889 0.361
P 0.500 0.268 0.428
P 0.500 0.732 0.928
O 0.000 0.111 0.861

Values from the calculation:
polymorph energy (0 for the lowest one): 0.014 eV per formula unit
space group: Pmc2_1, No. 26



(2)
Entry from the Open Quantum Materials Database: a relaxed structure of CsMg2Fe2As3 (PBE).

abc: 4.223 4.223 10.710
angles: 90.00 90.00 90.00
Site moments in Bohr magnetons follow the coordinates.
Element x y z (fractional)
Fe 0.000 0.500 0.350  2.94
As 0.500 0.500 0.221  0.10
Mg 0.500 0.000 0.354  0.01
Mg 0.000 0.500 0.646  0.00
As 0.000 0.000 0.500  0.06
Cs 0.000 0.000 0.000  0.01
Fe 0.500 0.000 0.650  2.95
As 0.500 0.500 0.779  0.07

Values from the calculation:
space group: P-4m2, No. 115



(3)
Entry from the Open Quantum Materials Database: a relaxed structure of KHoGa4Au2 (PBE).

abc: 6.779 5.752 5.752
angles: 47.16 90.00 90.00
Element x y z (fractional)
Au 0.000 0.301 0.301
Ga 0.801 0.877 0.877
Ga 0.199 0.877 0.877
Au 0.500 0.700 0.700
Ga 0.692 0.125 0.125
Ga 0.308 0.125 0.125
K 0.000 0.591 0.591
Ho 0.500 0.404 0.404

Values from the calculation:
space group: Amm2, No. 38



(4)
Entry from the Open Quantum Materials Database: a relaxed structure of TbHo2Al3NiGe2 (PBE).

abc: 4.176 6.933 6.933
angles: 120.03 90.00 90.00
Element x y z (fractional)
Ho 0.000 0.000 0.402
Al 0.500 0.229 0.229
Tb 0.000 0.597 0.597
Ge 0.500 0.667 0.332
Ni 0.000 0.002 0.002
Ge 0.500 0.332 0.667
Ho 0.000 0.402 0.000
Al 0.500 0.001 0.771
Al 0.500 0.771 0.001

Values from the calculation:
space group: Amm2, No. 38



(5)
Entry from the Open Quantum Materials Database: a relaxed structure of Hf3B4Pb (PBE).

abc: 3.120 3.352 10.611
angles: 90.00 90.00 90.00
Element x y z (fractional)
B 0.500 0.000 0.409
B 0.000 0.000 0.670
B 0.000 0.000 0.330
Hf 0.500 0.500 0.764
Hf 0.500 0.500 0.236
Pb 0.000 0.000 0.000
B 0.500 0.000 0.591
Hf 0.000 0.500 0.500

Values from the calculation:
space group: Pmmm, No. 47



(6)
Entry from the Open Quantum Materials Database: a relaxed structure of Pa5PSe5 (PBE).

abc: 6.954 6.954 8.023
angles: 106.90 106.90 48.22
Element x y z (fractional)
Pa 0.161 0.161 0.322
Pa 0.165 0.165 0.842
Se 0.000 0.000 0.500
P 0.000 0.000 0.000
Pa 0.835 0.835 0.158
Se 0.664 0.664 0.342
Pa 0.839 0.839 0.678
Se 0.336 0.336 0.658
Pa 0.500 0.500 0.000
Se 0.657 0.657 0.812
Se 0.343 0.343 0.188

Values from the calculation:
space group: C2/m, No. 12



| no. | final energy (eV per formula unit) |
| --- | --- |
| 1 | -25.5 |
| 2 | -36.2 |
| 3 | -27.4 |
| 4 | -46.6 |
| 5 | -65.5 |
| 6 | -84.8 |